## K3Ni2HgF9 (PBE with a Hubbard U)

Data for an optimized crystal structure of K3Ni2HgF9.

abc: 5.9385 5.9385 7.4583
angles: 90.00 90.00 120.00
With the nearest neighbours (Å) after each atom.
Fractional coordinates of all 15 atoms:
K 0.0000 0.0000 0.0000  12 F 2.93-2.97
K 0.3333 0.6667 0.6825  12 F 2.92-3.22
K 0.6667 0.3333 0.3175  12 F 2.92-3.22
Ni 0.3333 0.6667 0.1515  6 F 2.01-2.05
Ni 0.6667 0.3333 0.8485  6 F 2.01-2.05
Hg 0.0000 0.0000 0.5000  6 F 2.29
F 0.0000 0.5000 0.0000  2 Ni 2.05
F 0.1755 0.3510 0.3100  1 Ni 2.01
F 0.1755 0.8245 0.3100  1 Ni 2.01
F 0.3510 0.1755 0.6900  1 Ni 2.01
F 0.5000 0.0000 0.0000  2 Ni 2.05
F 0.5000 0.5000 0.0000  2 Ni 2.05
F 0.6490 0.8245 0.3100  1 Ni 2.01
F 0.8245 0.1755 0.6900  1 Ni 2.01
F 0.8245 0.6490 0.6900  1 Ni 2.01

Total magnetic moment (μB/f.u.): 4.00
Fermi-level density of states (states/eV/atom): 0.000
E (eV/atom): -4.003